A relaxed NiAg7F12 crystal. Source: Alexandria, functional PBE+U.

Unit cell a=9.312 b=9.312 c=9.312 alpha=115.65 beta=115.65 gamma=115.65
Element x y z (fractional)
Ni 0.000 0.000 0.000
Ag 0.084 0.762 0.178
Ag 0.178 0.084 0.762
Ag 0.238 0.822 0.916
Ag 0.500 0.500 0.500
Ag 0.762 0.178 0.084
Ag 0.822 0.916 0.238
Ag 0.916 0.238 0.822
F 0.073 0.913 0.428
F 0.081 0.252 0.271
F 0.087 0.572 0.927
F 0.252 0.271 0.081
F 0.271 0.081 0.252
F 0.428 0.073 0.913
F 0.572 0.927 0.087
F 0.729 0.919 0.748
F 0.748 0.729 0.919
F 0.913 0.428 0.073
F 0.919 0.748 0.729
F 0.927 0.087 0.572

Properties
- M_tot: 2.0 μB/f.u.
- Final energy: -3.47 eV per atom
- DOS(E_F): 9.8 states/eV/f.u.